[1]
# LaMn2Be

An optimized crystal structure of LaMn2Be (GGA-PBEsol, Alexandria).

Unit cell a=3.815 b=3.815 c=5.675 alpha=70.36 beta=70.36 gamma=60.00
Atoms (fractional coordinates):
Be 0.443 0.443 0.670
Mn 0.061 0.061 0.816
Mn 0.745 0.745 0.766
La 0.255 0.255 0.236

Summary:
* ΔE_f: 0.359 eV per formula unit
* ΔE to the lowest computed polymorph: 0.00 kcal/mol of atoms
* DOS at the Fermi energy: 3.4 states/eV/cell
* symmetry: R3m

---

[2]
# LaBeMo

An optimized crystal structure of LaBeMo (GGA-PBEsol, Alexandria).

Unit cell a=4.344 b=4.344 c=4.344 alpha=60.00 beta=60.00 gamma=60.00
Atoms (fractional coordinates):
Be 0.250 0.250 0.250
Mo 0.500 0.500 0.500
La 0.000 0.000 0.000

Summary:
* ΔE_f: 2.534 eV per formula unit
* ΔE to the lowest computed polymorph: 0.00 kcal/mol of atoms
* DOS at the Fermi energy: 3.4 states/eV/cell
* symmetry: F-43m

---

[3]
# LaBeMo2

An optimized crystal structure of LaBeMo2 (GGA-PBEsol, Alexandria).

Unit cell a=3.309 b=4.343 c=5.768 alpha=101.04 beta=90.00 gamma=112.40
Atoms (fractional coordinates):
Be 0.514 0.027 0.610
Mo 0.977 0.955 0.903
Mo 0.233 0.466 0.726
La 0.776 0.552 0.261

Summary:
* ΔE_f: 1.668 eV per formula unit
* DOS at the Fermi energy: 3.0 states/eV/cell
* symmetry: Cm

---

[4]
# LaBeMo2

An optimized crystal structure of LaBeMo2 (GGA-PBEsol, Alexandria).

Unit cell a=3.245 b=3.245 c=6.783 alpha=90.00 beta=90.00 gamma=90.00
Atoms (fractional coordinates):
Be 0.500 0.500 0.000
Mo 0.000 0.000 0.839
Mo 0.000 0.000 0.161
La 0.500 0.500 0.500

Summary:
* ΔE_f: 1.428 eV per formula unit
* DOS at the Fermi energy: 3.8 states/eV/cell
* symmetry: P4/mmm

---

[5]
# La2BeMo

An optimized crystal structure of La2BeMo (GGA-PBEsol, Alexandria).

Unit cell a=3.688 b=4.860 c=5.688 alpha=115.29 beta=108.91 gamma=90.00
Atoms (fractional coordinates):
Be 0.201 0.701 0.402
Mo 0.550 0.550 0.101
La 0.978 0.978 0.957
La 0.770 0.270 0.540

Summary:
* ΔE_f: 1.271 eV per formula unit
* DOS at the Fermi energy: 3.1 states/eV/cell
* symmetry: Imm2

---

[6]
# LaBeMo2

An optimized crystal structure of LaBeMo2 (GGA-PBEsol, Alexandria).

Unit cell a=2.839 b=2.839 c=9.822 alpha=81.69 beta=81.69 gamma=60.00
Atoms (fractional coordinates):
Be 0.500 0.500 0.500
Mo 0.235 0.235 0.296
Mo 0.765 0.765 0.704
La 0.000 0.000 0.000

Summary:
* ΔE_f: 3.122 eV per formula unit
* DOS at the Fermi energy: 4.7 states/eV/cell
* symmetry: R-3m